Entry from the Alexandria database: a relaxed NaTcHg2 crystal (PBE).

```
data_NaTcHg2
_chemical_formula_sum 'Na4 Tc4 Hg8'
_space_group_name_H-M_alt 'F m -3 m'
_space_group_IT_number 225
_space_group_name_Hall '-F 4 2 3'
_cell_length_a 6.864
_cell_length_b 6.864
_cell_length_c 6.864
_cell_angle_alpha 90.00
_cell_angle_beta 90.00
_cell_angle_gamma 90.00
loop_
_atom_site_label
_atom_site_type_symbol
_atom_site_fract_x
_atom_site_fract_y
_atom_site_fract_z
Na1 Na 0.000 0.000 0.000
Tc1 Tc 0.000 0.000 0.500
Hg1 Hg 0.250 0.250 0.250
```

Formation energy (eV per formula unit): 2.0

---

Entry from the Alexandria database: a relaxed MgNi2Sb crystal (PBE).

```
data_MgNi2Sb
_chemical_formula_sum 'Mg1 Ni2 Sb1'
_space_group_name_H-M_alt 'P 4/m m m'
_space_group_IT_number 123
_space_group_name_Hall '-P 4 2'
_cell_length_a 4.169
_cell_length_b 4.169
_cell_length_c 3.442
_cell_angle_alpha 90.00
_cell_angle_beta 90.00
_cell_angle_gamma 90.00
loop_
_atom_site_label
_atom_site_type_symbol
_atom_site_fract_x
_atom_site_fract_y
_atom_site_fract_z
Mg1 Mg 0.000 0.000 0.000
Ni1 Ni 0.000 0.500 0.500
Sb1 Sb 0.500 0.500 0.000
```

Electronic total energy (eV per cell): -18.1

---

Entry from the Alexandria database: a relaxed Nd9Tm4Zn11 crystal (PBE).

```
data_Nd9Tm4Zn11
_chemical_formula_sum 'Nd18 Tm8 Zn22'
_space_group_name_H-M_alt 'C m m m'
_space_group_IT_number 65
_space_group_name_Hall '-C 2 2'
_cell_length_a 15.242
_cell_length_b 22.166
_cell_length_c 3.509
_cell_angle_alpha 90.00
_cell_angle_beta 90.00
_cell_angle_gamma 90.00
loop_
_atom_site_label
_atom_site_type_symbol
_atom_site_fract_x
_atom_site_fract_y
_atom_site_fract_z
Nd1 Nd 0.000 0.000 0.000
Nd2 Nd 0.115 0.244 0.000
Nd3 Nd 0.124 0.416 0.000
Tm1 Tm 0.154 0.095 0.000
Zn1 Zn 0.000 0.136 0.500
Zn2 Zn 0.000 0.335 0.500
Zn3 Zn 0.000 0.500 0.500
Zn4 Zn 0.236 0.000 0.500
Zn5 Zn 0.240 0.322 0.500
```

Formation energy (eV per formula unit): -5.5

---

Entry from the Alexandria database: a relaxed Cu6PtAu crystal (PBE).

```
data_Cu6PtAu
_chemical_formula_sum 'Cu6 Pt1 Au1'
_space_group_name_H-M_alt 'P 4/m m m'
_space_group_IT_number 123
_space_group_name_Hall '-P 4 2'
_cell_length_a 3.771
_cell_length_b 3.771
_cell_length_c 7.434
_cell_angle_alpha 90.00
_cell_angle_beta 90.00
_cell_angle_gamma 90.00
loop_
_atom_site_label
_atom_site_type_symbol
_atom_site_fract_x
_atom_site_fract_y
_atom_site_fract_z
Cu1 Cu 0.000 0.000 0.000
Cu2 Cu 0.000 0.000 0.500
Cu3 Cu 0.000 0.500 0.245
Pt1 Pt 0.500 0.500 0.000
Au1 Au 0.500 0.500 0.500
```

Formation energy (eV per formula unit): -0.8

---

Number 1: magnetization 2.378 μB per formula unit, volume 20.2 Å³ per atom. Number 2: magnetization 0.000 μB per formula unit, volume 15.0 Å³ per atom. Number 3: magnetization 0.366 μB per formula unit, volume 24.7 Å³ per atom. Number 4: magnetization 0.000 μB per formula unit, volume 13.2 Å³ per atom.